# 1
MnCuRh6 after structural relaxation. Source: Alexandria, functional PBE.

## Properties
Symmetry   P4/mmm, No. 123
Energy of formation   -0.020 eV/atom
Magnetization   2.2 μB/cell

abc: 3.8131 3.8131 7.6170
angles: 90.00 90.00 90.00
With the nearest neighbours (Å) after each atom.
Sites, in units of the cell vectors:
Mn 0.0000 0.0000 0.0000  12 Rh 2.68-2.70
Cu 0.0000 0.0000 0.5000  12 Rh 2.70-2.71
Rh 0.0000 0.5000 0.2471  2 Mn 2.68, 8 Rh 2.68-2.71, 2 Cu 2.71
Rh 0.0000 0.5000 0.7529  2 Mn 2.68, 8 Rh 2.68-2.71, 2 Cu 2.71
Rh 0.5000 0.0000 0.2471  2 Mn 2.68, 8 Rh 2.68-2.71, 2 Cu 2.71
Rh 0.5000 0.0000 0.7529  2 Mn 2.68, 8 Rh 2.68-2.71, 2 Cu 2.71
Rh 0.5000 0.5000 0.0000  8 Rh 2.68, 4 Mn 2.70
Rh 0.5000 0.5000 0.5000  4 Cu 2.70, 8 Rh 2.71

# 2
MnCu2Rh after structural relaxation. Source: Alexandria, functional PBE.

## Properties
Symmetry   Pmmm, No. 47
Energy of formation   0.057 eV/atom
Magnetization   4.2 μB/cell

abc: 2.7836 3.6504 5.1910
angles: 90.00 90.00 90.00
With the nearest neighbours (Å) after each atom.
Sites, in units of the cell vectors:
Mn 0.0000 0.0000 0.0000  2 Rh 2.60, 8 Cu 2.63, 2 Mn 2.78
Cu 0.5000 0.5000 0.2478  4 Cu 2.57-2.78, 4 Mn 2.63, 4 Rh 2.64
Cu 0.5000 0.5000 0.7522  4 Cu 2.57-2.78, 4 Mn 2.63, 4 Rh 2.64
Rh 0.0000 0.0000 0.5000  2 Mn 2.60, 8 Cu 2.64, 2 Rh 2.78

Repeat the first record exactly.
MnCuRh6 after structural relaxation. Source: Alexandria, functional PBE.

## Properties
Symmetry   P4/mmm, No. 123
Energy of formation   -0.020 eV/atom
Magnetization   2.2 μB/cell

abc: 3.8131 3.8131 7.6170
angles: 90.00 90.00 90.00
With the nearest neighbours (Å) after each atom.
Sites, in units of the cell vectors:
Mn 0.0000 0.0000 0.0000  12 Rh 2.68-2.70
Cu 0.0000 0.0000 0.5000  12 Rh 2.70-2.71
Rh 0.0000 0.5000 0.2471  2 Mn 2.68, 8 Rh 2.68-2.71, 2 Cu 2.71
Rh 0.0000 0.5000 0.7529  2 Mn 2.68, 8 Rh 2.68-2.71, 2 Cu 2.71
Rh 0.5000 0.0000 0.2471  2 Mn 2.68, 8 Rh 2.68-2.71, 2 Cu 2.71
Rh 0.5000 0.0000 0.7529  2 Mn 2.68, 8 Rh 2.68-2.71, 2 Cu 2.71
Rh 0.5000 0.5000 0.0000  8 Rh 2.68, 4 Mn 2.70
Rh 0.5000 0.5000 0.5000  4 Cu 2.70, 8 Rh 2.71

What did the second record say?
MnCu2Rh after structural relaxation. Source: Alexandria, functional PBE.

## Properties
Symmetry   Pmmm, No. 47
Energy of formation   0.057 eV/atom
Magnetization   4.2 μB/cell

abc: 2.7836 3.6504 5.1910
angles: 90.00 90.00 90.00
With the nearest neighbours (Å) after each atom.
Sites, in units of the cell vectors:
Mn 0.0000 0.0000 0.0000  2 Rh 2.60, 8 Cu 2.63, 2 Mn 2.78
Cu 0.5000 0.5000 0.2478  4 Cu 2.57-2.78, 4 Mn 2.63, 4 Rh 2.64
Cu 0.5000 0.5000 0.7522  4 Cu 2.57-2.78, 4 Mn 2.63, 4 Rh 2.64
Rh 0.0000 0.0000 0.5000  2 Mn 2.60, 8 Cu 2.64, 2 Rh 2.78

Which formula does entry 1 have? MnCuRh6